5
Lattice="4.823 0.000 0.000 0.000 4.823 0.000 0.000 0.000 4.695" Properties=species:S:1:pos:R:3 comment="In2CoSnB | Alexandria via LeMat-Bulk | GGA-PBEsol | relaxed" mass_density_g_cm3=6.356 space_group="P4/mmm (123)" e_tot_ev_per_atom=-4.117 pbc="T T T"
In 0.000 2.412 0.000
In 2.412 0.000 0.000
Co 0.000 0.000 0.000
Sn 0.000 0.000 2.348
B 2.412 2.412 2.348

***

4
Lattice="-1.940 2.102 4.679 1.940 -2.102 4.679 1.940 2.102 -4.679" Properties=species:S:1:pos:R:3 comment="ZrAl | Alexandria via LeMat-Bulk | GGA-PBEsol | relaxed" mass_density_g_cm3=5.143 space_group="Imma (74)" e_tot_ev_per_atom=-7.000 pbc="T T T"
Zr 0.000 1.051 1.136
Zr 1.940 1.051 3.543
Al 1.940 1.051 -1.287
Al 0.000 1.051 5.967

***

4
Lattice="3.147 -5.380 0.000 3.147 5.380 0.000 0.000 0.000 3.185" Properties=species:S:1:pos:R:3 comment="Tl2HgSb | Alexandria via LeMat-Bulk | GGA-PBEsol | relaxed" mass_density_g_cm3=11.258 e_form_raw_mev_per_atom=31 space_group="Cmmm (65)" e_tot_ev_per_atom=-2.565 pbc="T T T"
Tl 1.573 2.690 0.000
Tl 1.573 -2.690 0.000
Hg 0.000 0.000 1.592
Sb 3.147 0.000 1.592

***

5
Lattice="5.839 0.000 0.000 0.000 5.839 0.000 0.000 0.000 5.727" Properties=species:S:1:pos:R:3 comment="CaTe2ICl | Alexandria via LeMat-Bulk | GGA-PBEsol | relaxed" mass_density_g_cm3=3.892 e_form_raw_mev_per_atom=1 space_group="P4/mmm (123)" e_tot_ev_per_atom=-2.591 pbc="T T T"
Ca 0.000 0.000 0.000
Te 0.000 2.919 0.000
Te 2.919 0.000 0.000
I 0.000 0.000 2.864
Cl 2.919 2.919 2.864

***

8
Lattice="-2.286 2.286 4.637 2.286 -2.286 4.637 2.286 2.286 -4.637" Properties=species:S:1:pos:R:3 comment="Nb2HO | Alexandria via LeMat-Bulk | GGA-PBEsol | relaxed" mass_density_g_cm3=6.953 space_group="I-42d (122)" e_tot_ev_per_atom=-8.371 pbc="T T T"
Nb 3.428 1.051 -1.159
Nb 1.051 1.143 1.159
Nb -1.143 1.234 3.477
Nb 1.234 1.143 5.796
H 0.000 0.000 0.000
H 0.000 2.286 2.318
O 2.286 0.000 2.318
O 0.000 0.000 4.637

***

6
Lattice="0.000 3.668 3.668 3.668 0.000 3.668 3.668 3.668 0.000" Properties=species:S:1:pos:R:3 comment="BeZn4Pb | Alexandria via LeMat-Bulk | GGA-PBEsol | relaxed" mass_density_g_cm3=8.036 space_group="F-43m (216)" e_tot_ev_per_atom=-2.039 pbc="T T T"
Be 0.000 0.000 0.000
Zn 4.594 2.743 2.743
Zn 2.743 4.594 2.743
Zn 2.743 2.743 4.594
Zn 4.594 4.594 4.594
Pb 1.834 1.834 1.834

***

16
Lattice="4.849 0.000 0.000 0.000 8.475 0.000 0.000 0.000 5.213" Properties=species:S:1:pos:R:3 comment="CdCu3 | Alexandria via LeMat-Bulk | GGA-PBEsol | relaxed" mass_density_g_cm3=9.396 space_group="Pnma (62)" e_tot_ev_per_atom=-3.459 pbc="T T T"
Cd 0.237 2.119 0.528
Cd 2.188 6.356 3.135
Cd 2.661 2.119 2.078
Cd 4.613 6.356 4.684
Cu 0.319 2.119 3.191
Cu 1.049 4.306 1.829
Cu 1.049 8.406 1.829
Cu 1.375 0.069 4.436
Cu 1.375 4.169 4.436
Cu 2.106 6.356 0.585
Cu 2.743 2.119 4.628
Cu 3.474 4.306 0.777
Cu 3.474 8.406 0.777
Cu 3.800 0.069 3.384
Cu 3.800 4.169 3.384
Cu 4.531 6.356 2.022

***

5
Lattice="4.252 0.000 0.000 0.000 4.252 0.000 0.000 0.000 4.252" Properties=species:S:1:pos:R:3 comment="Zn3SbC | Alexandria via LeMat-Bulk | GGA-PBEsol | relaxed" mass_density_g_cm3=7.127 e_form_raw_mev_per_atom=610 space_group="Pm-3m (221)" e_tot_ev_per_atom=-3.179 pbc="T T T"
Zn 0.000 0.000 2.126
Zn 0.000 2.126 0.000
Zn 2.126 0.000 0.000
Sb 2.126 2.126 2.126
C 0.000 0.000 0.000

***

Repeat the second record exactly.
4
Lattice="-1.940 2.102 4.679 1.940 -2.102 4.679 1.940 2.102 -4.679" Properties=species:S:1:pos:R:3 comment="ZrAl | Alexandria via LeMat-Bulk | GGA-PBEsol | relaxed" mass_density_g_cm3=5.143 space_group="Imma (74)" e_tot_ev_per_atom=-7.000 pbc="T T T"
Zr 0.000 1.051 1.136
Zr 1.940 1.051 3.543
Al 1.940 1.051 -1.287
Al 0.000 1.051 5.967